(1)
Density functional theory data (SCAN) for a PBEsol-optimized structure of Sn2HgBi.

volume: 107.0 Å³/cell
calculated formation energy: 17.4 kJ/mol of atoms

Lattice parameters (Å, degrees): 5.329 5.329 5.329 60.00 60.00 60.00
Positions (direct):
Bi 0.500 0.500 0.500
Sn 0.750 0.750 0.750
Sn 0.250 0.250 0.250
Hg 0.000 0.000 0.000

=====

(2)
Density functional theory data (SCAN) for a PBEsol-optimized structure of Sn3HgBi.

volume: 196.7 Å³/cell
calculated formation energy: 78.6 kJ/mol of atoms

Lattice parameters (Å, degrees): 5.816 5.816 5.816 90.00 90.00 90.00
Positions (direct):
Hg 0.500 0.500 0.500
Sn 0.000 0.500 0.000
Sn 0.500 0.000 0.000
Sn 0.000 0.000 0.500
Bi 0.000 0.000 0.000